Compound: Nb2VBF
Source: the Alexandria database
Functional: PBE+U
Structure: relaxed

Geometry as CIF:
```
data_Nb2VBF
_cell_length_a 4.473
_cell_length_b 4.473
_cell_length_c 3.899
_cell_angle_alpha 90.00
_cell_angle_beta 90.00
_cell_angle_gamma 90.00
_symmetry_space_group_name_H-M 'P 4/m m m'
_symmetry_Int_Tables_number 123
_symmetry_space_group_name_Hall '-P 4 2'
loop_
_atom_site_label
_atom_site_type_symbol
_atom_site_fract_x
_atom_site_fract_y
_atom_site_fract_z
Nb1 Nb 0.000 0.500 0.000
V1 V 0.000 0.000 0.500
B1 B 0.000 0.000 0.000
F1 F 0.500 0.500 0.500
```

Results
Magnetic moment, μB per atom: 0.000
E, eV for the cell shown: -33.16